Compound: LiSbTe2
Source: the Alexandria database
Functional: PBE
Structure: optimized geometry

abc: 5.232 5.232 3.899
angles: 90.00 90.00 90.00
Space group P4/mmm (No. 123)
Inequivalent atoms, fractional coordinates:
Li (0.000, 0.000, 0.000) [1 per cell]
Sb (0.500, 0.500, 0.000) [1 per cell]
Te (0.000, 0.500, 0.500) [2 per cell]

Values from the calculation:
Energy relative to the elements, uncorrected in eV/atom: -0.179